# 1
PmPu2Th after structural relaxation, computed with PBE.

Results
energy of formation from the pure elements: 0.186 eV/atom
N(E_F): 14.24 states/eV/f.u.
energy relative to the lowest polymorph listed for this composition: 0.0 meV/atom
DFT total energy: -10.023 eV/atom

POSCAR file:
```
PmPu2Th
1.0
3.496 0.000 0.000
0.000 3.496 0.000
0.000 0.000 9.676
Pm Pu Th
1 2 1
Direct
0.000 0.000 0.000 Pm
0.500 0.500 0.262 Pu
0.500 0.500 0.738 Pu
0.000 0.000 0.500 Th
```

***

# 2
Pm14PuTh after structural relaxation, computed with PBE.

Results
energy of formation from the pure elements: 0.052 eV/atom
N(E_F): 29.55 states/eV/f.u.
DFT total energy: -5.465 eV/atom

POSCAR file:
```
Pm14PuTh
1.0
7.253 0.000 0.000
0.000 7.253 0.000
0.000 0.000 10.290
Pm Pu Th
14 1 1
Direct
0.000 0.000 0.000 Pm
0.000 0.500 0.000 Pm
0.000 0.500 0.500 Pm
0.250 0.250 0.255 Pm
0.250 0.250 0.745 Pm
0.250 0.750 0.255 Pm
0.250 0.750 0.745 Pm
0.500 0.000 0.000 Pm
0.500 0.000 0.500 Pm
0.500 0.500 0.000 Pm
0.750 0.250 0.255 Pm
0.750 0.250 0.745 Pm
0.750 0.750 0.255 Pm
0.750 0.750 0.745 Pm
0.000 0.000 0.500 Pu
0.500 0.500 0.500 Th
```

***

# 3
PmPu2Th after structural relaxation, computed with PBE.

Results
energy of formation from the pure elements: 0.200 eV/atom
N(E_F): 13.49 states/eV/f.u.
energy relative to the lowest polymorph listed for this composition: 14.4 meV/atom
DFT total energy: -10.008 eV/atom

POSCAR file:
```
PmPu2Th
1.0
4.947 0.000 0.000
0.000 4.947 0.000
0.000 0.000 4.839
Pm Pu Th
1 2 1
Direct
0.000 0.000 0.000 Pm
0.000 0.500 0.500 Pu
0.500 0.000 0.500 Pu
0.500 0.500 0.000 Th
```

***

# 4
PmPuThTl after structural relaxation, computed with PBE.

Results
energy of formation from the pure elements: 0.145 eV/atom
N(E_F): 12.17 states/eV/f.u.
DFT total energy: -7.072 eV/atom

POSCAR file:
```
PmPuThTl
1.0
7.748 0.000 0.000
0.000 7.748 0.000
0.000 0.000 7.748
Pm Pu Th Tl
4 4 4 4
Direct
0.000 0.000 0.000 Pm
0.000 0.500 0.500 Pm
0.500 0.000 0.500 Pm
0.500 0.500 0.000 Pm
0.000 0.000 0.500 Pu
0.000 0.500 0.000 Pu
0.500 0.000 0.000 Pu
0.500 0.500 0.500 Pu
0.250 0.250 0.750 Th
0.250 0.750 0.250 Th
0.750 0.250 0.250 Th
0.750 0.750 0.750 Th
0.250 0.250 0.250 Tl
0.250 0.750 0.750 Tl
0.750 0.250 0.750 Tl
0.750 0.750 0.250 Tl
```